1.
A plane-wave DFT calculation with PBE with a Hubbard U was carried out for a relaxed structure of CsVF3.

```
10
Lattice="4.269 0.000 0.000 0.000 6.598 0.000 -2.112 0.000 6.685" Properties=species:S:1:pos:R:3 pbc="T T T"
Cs 0.002 1.650 2.740
Cs 2.155 4.949 3.945
V 0.023 1.650 6.560
V 2.133 4.949 0.125
F -0.001 4.949 0.185
F 0.023 3.384 5.290
F 0.023 6.513 5.290
F 2.134 0.085 1.394
F 2.134 3.214 1.394
F 2.158 1.650 6.500
```

As for the crystal system: monoclinic. The value obtained for the calculated total energy is -5.445 eV/atom. The calculation puts the density of states at the Fermi level at 0.0000 states/eV per atom. Its space group is P2_1/m.


2.
A plane-wave DFT calculation with PBE with a Hubbard U was carried out for a relaxed structure of K2CrAuO.

```
5
Lattice="5.680 0.000 0.000 0.000 5.680 0.000 0.000 0.000 3.998" Properties=species:S:1:pos:R:3 pbc="T T T"
K 0.000 2.840 0.000
K 2.840 0.000 0.000
Cr 0.000 0.000 1.999
Au 2.840 2.840 1.999
O 0.000 0.000 0.000
```

As for the crystal system: tetragonal. The value obtained for the calculated total energy is -4.247 eV/atom. The calculation puts the density of states at the Fermi level at 0.4018 states/eV per atom. Its space group is P4/mmm.